Crystalline La5DyTe6 at its relaxed geometry, computed with PBE-GGA.

a = 7.874 Å, b = 7.874 Å, c = 7.879 Å
α = 99.60°, β = 99.60°, γ = 120.22°
Sites, in units of the cell vectors:
La  0.334  0.666  0.000
Te  0.597  0.920  0.758
La  0.828  0.172  0.500
La  0.666  0.334  0.000
Te  0.239  0.239  0.752
La  0.172  0.828  0.500
Te  0.761  0.761  0.248
Te  0.403  0.080  0.242
Te  0.920  0.597  0.758
Te  0.080  0.403  0.242
La  0.500  0.500  0.500
Dy  0.000  0.000  0.000

Computed properties:
VASP energy (eV for the cell shown): -66.6
Raw formation energy (eV per formula unit): -18.52
Magnetic moment (μB/atom): 0.000